LiSbHI2 | PBE | optimized geometry

Cell: 5.548 5.548 5.051 Å, 90.00 90.00 90.00°
Element x y z (fractional)
1 Li 0.000 0.000 0.000
2 Sb 0.000 0.000 0.500
3 H 0.500 0.500 0.500
4 I 0.000 0.500 0.000
5 I 0.500 0.000 0.000

Computed properties:
- ΔE to the lowest computed polymorph: 522.0 meV per atom